Compound: YNbI2O
Source: Alexandria via LeMat-Bulk
Functional: PBE-GGA
Structure: relaxed

Properties
- E (eV per atom) = -5.43

Lattice parameters (Å, degrees): 6.120 6.120 4.137 90.00 90.00 90.00
Sites, in units of the cell vectors:
1 Y 0.000 0.000 0.000
2 Nb 0.500 0.500 0.500
3 I 0.000 0.500 0.000
4 I 0.500 0.000 0.000
5 O 0.000 0.000 0.500